# 1
{"formula": "Tb3Sm2Hg7", "functional": "PBE-GGA", "state": "relaxed", "lattice": [[5.4519, 0.0000, 0.0000], [0.0000, 5.2267, 0.0000], [0.0000, -2.6134, 11.6231]], "species": ["Hg", "Hg", "Hg", "Sm", "Hg", "Sm", "Tb", "Tb", "Tb", "Hg", "Hg", "Hg"], "frac_coords": [[0.0000, 0.2779, 0.5558], [0.0000, 0.4263, 0.8527], [0.0000, 0.0000, 0.0000], [0.0000, 0.8558, 0.7115], [0.0000, 0.7221, 0.4442], [0.0000, 0.1442, 0.2885], [0.5000, 0.3348, 0.6697], [0.5000, 0.5000, 0.0000], [0.5000, 0.6652, 0.3303], [0.5000, 0.9184, 0.8368], [0.0000, 0.5737, 0.1473], [0.5000, 0.0816, 0.1632]], "final_energy_ev_per_atom": -2.426, "formation_enthalpy_0k_ev_per_atom": -0.31, "spacegroup": "Cmmm (65)", "magnetic_moment_mub_per_cell": 0.0}


# 2
{"formula": "UPaNb2", "functional": "PBE-GGA", "state": "relaxed", "lattice": [[3.2481, 0.0000, 0.0000], [1.6241, 2.8130, 0.0000], [1.6241, 0.9377, 9.4318]], "species": ["U", "Nb", "Pa", "Nb"], "frac_coords": [[0.5000, 0.5000, 0.5000], [0.7591, 0.7591, 0.7226], [0.0000, 0.0000, 0.0000], [0.2409, 0.2409, 0.2774]], "final_energy_ev_per_atom": -9.735, "formation_enthalpy_0k_ev_per_atom": 0.50, "spacegroup": "R-3m (166)", "e_above_lowest_polymorph_ev_per_atom": 0.135, "magnetic_moment_mub_per_cell": 0.0}


# 3
{"formula": "Pa2Co3P4Pd", "functional": "PBE-GGA", "state": "relaxed", "lattice": [[4.0442, 0.0000, 0.0000], [0.0000, 4.0442, 0.0000], [0.0000, 0.0000, 9.0370]], "species": ["Pd", "P", "P", "Co", "Co", "Pa", "P", "P", "Pa", "Co"], "frac_coords": [[0.5000, 0.5000, 0.5000], [0.0000, 0.5000, 0.3533], [0.0000, 0.0000, 0.0000], [0.5000, 0.0000, 0.8942], [0.0000, 0.5000, 0.1058], [0.0000, 0.5000, 0.7597], [0.5000, 0.5000, 0.0000], [0.5000, 0.0000, 0.6467], [0.5000, 0.0000, 0.2403], [0.0000, 0.0000, 0.5000]], "final_energy_ev_per_atom": -7.653, "formation_enthalpy_0k_ev_per_atom": -0.94, "spacegroup": "P-4m2 (115)", "magnetic_moment_mub_per_cell": 0.5}


# 4
{"formula": "LiPuInBi", "functional": "PBE-GGA", "state": "relaxed", "lattice": [[3.5759, 0.0001, 0.0034], [0.0001, 3.5759, -0.0034], [-0.0079, 0.0079, 7.7084]], "species": ["Pu", "Bi", "In", "Li"], "frac_coords": [[0.6461, 0.3539, 0.9664], [0.1462, 0.8538, 0.2572], [0.1464, 0.8536, 0.6893], [0.6463, 0.3537, 0.4759]], "final_energy_ev_per_atom": -5.979, "formation_enthalpy_0k_ev_per_atom": -0.26, "spacegroup": "P4mm (99)", "e_above_lowest_polymorph_ev_per_atom": 0.000, "magnetic_moment_mub_per_cell": 5.9}


# 5
{"formula": "La5AgAu2", "functional": "PBE-GGA", "state": "relaxed", "lattice": [[-8.1193, 0.8064, 2.7546], [-1.8940, -7.7153, -3.3239], [6.6019, 0.6882, 5.7965]], "species": ["Au", "Au", "La", "Au", "La", "La", "La", "La", "La", "La", "Ag", "La", "La", "Ag", "La", "Au"], "frac_coords": [[0.8689, 0.6311, 0.0000], [0.1311, 0.3689, 0.0000], [0.0000, 0.0000, 0.0000], [0.6311, 0.1311, 0.0000], [0.8091, 0.9906, 0.2997], [0.5000, 0.5000, 0.0000], [0.4906, 0.3091, 0.2997], [0.0094, 0.5094, 0.7003], [0.5094, 0.6909, 0.7003], [0.6909, 0.1909, 0.7003], [0.2500, 0.2500, 0.5000], [0.1909, 0.0094, 0.7003], [0.3091, 0.8091, 0.2997], [0.7500, 0.7500, 0.5000], [0.9906, 0.4906, 0.2997], [0.3689, 0.8689, 0.0000]], "final_energy_ev_per_atom": -4.705, "formation_enthalpy_0k_ev_per_atom": -0.45, "spacegroup": "I4/mcm (140)", "magnetic_moment_mub_per_cell": 0.0}


# 6
{"formula": "B2IrPt", "functional": "PBE-GGA", "state": "relaxed", "lattice": [[-0.4747, 0.7353, 3.2257], [-2.2256, -1.7277, 1.7979], [2.5745, -3.5184, 2.9124]], "species": ["Ir", "B", "Pt", "B"], "frac_coords": [[0.6875, 0.6875, 0.9375], [0.2410, 0.2410, 0.2770], [0.5047, 0.5047, 0.4859], [0.0668, 0.0668, 0.7996]], "final_energy_ev_per_atom": -7.049, "formation_enthalpy_0k_ev_per_atom": 0.02, "spacegroup": "R3m (160)", "e_above_lowest_polymorph_ev_per_atom": 0.009, "magnetic_moment_mub_per_cell": 0.0}


# 7
{"formula": "LaTb8Th2", "functional": "PBE-GGA", "state": "relaxed", "lattice": [[-4.9476, -0.4650, -2.5473], [-1.1108, -9.0397, 4.6688], [-3.6869, -3.8691, 8.7284]], "species": ["Tb", "Th", "Tb", "Tb", "Tb", "Tb", "Tb", "Tb", "Th", "La", "Tb"], "frac_coords": [[0.2389, 0.5475, 0.5475], [0.2603, 0.7177, 0.7177], [0.7611, 0.4525, 0.4525], [0.7377, 0.8628, 0.4038], [0.7377, 0.4038, 0.8628], [0.2623, 0.1372, 0.5962], [0.2623, 0.5962, 0.1372], [0.7661, 0.8159, 0.8159], [0.7397, 0.2823, 0.2823], [0.0000, 0.0000, 0.0000], [0.2339, 0.1841, 0.1841]], "final_energy_ev_per_atom": -4.989, "formation_enthalpy_0k_ev_per_atom": 0.18, "spacegroup": "C2/m (12)", "e_above_lowest_polymorph_ev_per_atom": 0.079, "magnetic_moment_mub_per_cell": 0.0}


# 8
{"formula": "Ba2MnHg", "functional": "PBE-GGA", "state": "relaxed", "lattice": [[6.7018, 0.0330, 0.0000], [2.9473, 6.0190, 0.0000], [-4.8246, -3.0260, 3.5330]], "species": ["Mn", "Ba", "Hg", "Ba"], "frac_coords": [[0.7500, 0.2500, 0.5000], [0.0000, 0.0000, 0.0000], [0.5000, 0.5000, 0.0000], [0.2500, 0.7500, 0.5000]], "final_energy_ev_per_atom": -3.081, "formation_enthalpy_0k_ev_per_atom": 0.25, "spacegroup": "I-4m2 (119)", "e_above_lowest_polymorph_ev_per_atom": 0.206, "magnetic_moment_mub_per_cell": 4.0}


# 9
{"formula": "Ca2IrPtO6", "functional": "PBE-GGA", "state": "relaxed", "lattice": [[4.3417, 0.0000, 0.0000], [0.0000, 5.5225, 0.0000], [0.0000, 0.0000, 5.5225]], "species": ["O", "O", "Ca", "Ir", "O", "Ca", "O", "Pt", "O", "O"], "frac_coords": [[0.7068, 0.2448, 0.2448], [0.7068, 0.2448, 0.7552], [0.0406, 0.5000, 0.0000], [0.6101, 0.0000, 0.0000], [0.7068, 0.7552, 0.7552], [0.0406, 0.0000, 0.5000], [0.1427, 0.5000, 0.5000], [0.6230, 0.5000, 0.5000], [0.7068, 0.7552, 0.2448], [0.1627, 0.0000, 0.0000]], "final_energy_ev_per_atom": -6.213, "raw_formation_energy_ev_per_atom": -1.348, "spacegroup": "P4mm (99)", "e_above_lowest_polymorph_ev_per_atom": 0.276, "magnetic_moment_mub_per_cell": 1.3}


# 10
{"formula": "CrSiW", "functional": "PBE-GGA", "state": "relaxed", "lattice": [[-3.4736, 1.6247, -1.6075], [1.7239, -3.3589, -1.7422], [-1.4923, -1.5998, 1.6078]], "species": ["Cr", "W", "Si"], "frac_coords": [[0.0000, 0.0000, 0.0655], [0.6667, 0.3333, 0.7248], [0.3333, 0.6667, 0.2097]], "final_energy_ev_per_atom": -9.329, "raw_formation_energy_ev_per_atom": 0.004, "spacegroup": "P3m1 (156)", "magnetic_moment_mub_per_cell": 0.0}


# 11
{"formula": "Y2GaIr", "functional": "PBE-GGA", "state": "relaxed", "lattice": [[7.7035, 0.0000, 0.0000], [0.0000, 7.7035, 0.0000], [3.8517, 3.8517, 3.3254]], "species": ["Y", "Y", "Y", "Ir", "Y", "Ir", "Ga", "Ga"], "frac_coords": [[0.0930, 0.6250, 0.2500], [0.6570, 0.1250, 0.2500], [0.8750, 0.9070, 0.7500], [0.7500, 0.2500, 0.5000], [0.3750, 0.3430, 0.7500], [0.0000, 0.0000, 0.0000], [0.5000, 0.5000, 0.0000], [0.2500, 0.7500, 0.5000]], "final_energy_ev_per_atom": -6.440, "formation_enthalpy_0k_ev_per_atom": -0.24, "spacegroup": "I-42d (122)", "magnetic_moment_mub_per_cell": 0.0}


# 12
{"formula": "Rb2NpAsSe4", "functional": "PBE-GGA", "state": "relaxed", "lattice": [[8.8297, 0.0305, -0.0250], [0.0243, 8.8297, -0.0250], [-4.3280, -4.3309, 6.2865]], "species": ["Np", "Se", "Se", "Rb", "Se", "As", "Se", "Se", "Np", "Rb", "As", "Rb", "Se", "Se", "Se", "Rb"], "frac_coords": [[0.0000, 0.5000, 0.0000], [0.8091, 0.2617, 0.0354], [0.7675, 0.7327, 0.9543], [0.5000, 0.0000, 0.5000], [0.2383, 0.6909, 0.4647], [0.5000, 0.5000, 0.5000], [0.1910, 0.7383, 0.9646], [0.2327, 0.2676, 0.4543], [0.0000, 0.5000, 0.5000], [0.5000, 0.5000, 0.0000], [0.0000, 0.0000, 0.0000], [0.0000, 0.0000, 0.5000], [0.7617, 0.3090, 0.5353], [0.2325, 0.2673, 0.0457], [0.7673, 0.7324, 0.5457], [0.5000, 0.0000, 0.0000]], "final_energy_ev_per_atom": -4.992, "raw_formation_energy_ev_per_atom": -0.809, "spacegroup": "Imma (74)", "magnetic_moment_mub_per_cell": 7.7}


# 13
{"formula": "BiHCl2", "functional": "PBE-GGA", "state": "relaxed", "lattice": [[5.4757, -4.4759, 4.1613], [7.4399, -1.6973, 3.0167], [5.4427, -1.3826, 5.9833]], "species": ["Bi", "Cl", "Cl", "H"], "frac_coords": [[0.5000, 0.5000, 0.5000], [0.9344, 0.9344, 0.9344], [0.0656, 0.0656, 0.0656], [0.0000, 0.0000, 0.0000]], "final_energy_ev_per_atom": -3.043, "spacegroup": "R-3m (166)", "e_above_lowest_polymorph_ev_per_atom": 0.000, "magnetic_moment_mub_per_cell": 0.0}


# 14
{"formula": "Al2Cu3Si3", "functional": "PBE-GGA", "state": "relaxed", "lattice": [[-3.4972, -5.8106, 3.0189], [4.8261, -4.8418, 2.2211], [0.2121, 1.0597, 4.6116]], "species": ["Al", "Al", "Al", "Si", "Si", "Cu", "Si", "Cu", "Si", "Si", "Cu", "Al", "Si", "Cu", "Cu", "Cu"], "frac_coords": [[0.6258, 0.7220, 0.2753], [0.3742, 0.2780, 0.7247], [0.9066, 0.6658, 0.7281], [0.2479, 0.9081, 0.1569], [0.6980, 0.3297, 0.3211], [0.4672, 0.1295, 0.2223], [0.9700, 0.2887, 0.8385], [0.3619, 0.5118, 0.2153], [0.7521, 0.0919, 0.8431], [0.0300, 0.7113, 0.1615], [0.6381, 0.4882, 0.7847], [0.0934, 0.3342, 0.2719], [0.3020, 0.6703, 0.6789], [0.2084, 0.0276, 0.6146], [0.7916, 0.9724, 0.3854], [0.5328, 0.8705, 0.7777]], "final_energy_ev_per_atom": -4.430, "raw_formation_energy_ev_per_atom": 0.075, "spacegroup": "P-1 (2)", "e_above_lowest_polymorph_ev_per_atom": 0.000, "magnetic_moment_mub_per_cell": 0.0}


# 15
{"formula": "Pm3Np2Ru4", "functional": "PBE-GGA", "state": "relaxed", "lattice": [[-0.9958, -1.6864, 3.7463], [5.3049, -1.9834, -1.8678], [2.3907, 7.5925, 4.0533]], "species": ["Ru", "Pm", "Np", "Pm", "Ru", "Pm", "Ru", "Ru", "Np"], "frac_coords": [[0.0884, 0.1769, 0.6388], [0.6250, 0.2499, 0.3854], [0.3285, 0.6570, 0.2185], [0.0000, 0.0000, 0.0000], [0.2781, 0.5561, 0.9067], [0.3750, 0.7501, 0.6146], [0.9116, 0.8231, 0.3612], [0.7219, 0.4439, 0.0933], [0.6715, 0.3430, 0.7815]], "final_energy_ev_per_atom": -8.817, "formation_enthalpy_0k_ev_per_atom": -0.24, "spacegroup": "C2/m (12)", "magnetic_moment_mub_per_cell": 5.1}


# 16
{"formula": "Pr2Ga3Cu4Hg", "functional": "PBE-GGA", "state": "relaxed", "lattice": [[-3.2656, -1.1422, 2.5726], [2.1120, -3.5992, 1.0828], [4.4356, 4.9591, 7.8323]], "species": ["Cu", "Pr", "Ga", "Ga", "Ga", "Hg", "Cu", "Cu", "Cu", "Pr"], "frac_coords": [[0.0000, 0.0000, 0.0000], [0.0000, 0.5000, 0.7635], [0.0000, 0.0000, 0.5000], [0.0000, 0.5000, 0.1212], [0.5000, 0.0000, 0.8788], [0.5000, 0.5000, 0.5000], [0.0000, 0.5000, 0.3551], [0.5000, 0.0000, 0.6449], [0.5000, 0.5000, 0.0000], [0.5000, 0.0000, 0.2365]], "final_energy_ev_per_atom": -3.885, "formation_enthalpy_0k_ev_per_atom": -0.35, "spacegroup": "P-4m2 (115)", "magnetic_moment_mub_per_cell": 0.0}


# 17
{"formula": "Nd2Co2Cu", "functional": "PBE-GGA", "state": "relaxed", "lattice": [[-1.2157, -5.1736, 4.4830], [3.4069, -4.4065, -4.1614], [6.9629, 1.7227, 3.8763]], "species": ["Cu", "Cu", "Co", "Cu", "Co", "Co", "Co", "Co", "Nd", "Co", "Co", "Nd", "Co", "Nd", "Nd", "Cu", "Nd", "Nd", "Nd", "Nd"], "frac_coords": [[0.5000, 0.5000, 0.2496], [0.0000, 0.0000, 0.7496], [0.8851, 0.6149, 0.7500], [0.5000, 0.5000, 0.7504], [0.3851, 0.8851, 0.7500], [0.1149, 0.3851, 0.7500], [0.6149, 0.1149, 0.7500], [0.3851, 0.8851, 0.2500], [0.8166, 0.3167, 0.5000], [0.1149, 0.3851, 0.2500], [0.8851, 0.6149, 0.2500], [0.3166, 0.1833, 0.0000], [0.6149, 0.1149, 0.2500], [0.6834, 0.8167, 0.0000], [0.6833, 0.8166, 0.5000], [0.0000, 0.0000, 0.2504], [0.8167, 0.3166, 0.0000], [0.1834, 0.6833, 0.5000], [0.3167, 0.1834, 0.5000], [0.1833, 0.6834, 0.0000]], "final_energy_ev_per_atom": -5.562, "formation_enthalpy_0k_ev_per_atom": 0.01, "spacegroup": "P4/mnc (128)", "magnetic_moment_mub_per_cell": 4.5}


# 18
{"formula": "Tc2IrW", "functional": "PBE-GGA", "state": "relaxed", "lattice": [[-0.0646, -4.4121, -1.9182], [2.1131, -3.1385, 2.9724], [-3.4482, 3.2862, 0.6794]], "species": ["Ir", "Tc", "W", "Tc"], "frac_coords": [[0.2500, 0.7500, 0.5000], [0.0000, 0.0000, 0.0000], [0.7500, 0.2500, 0.5000], [0.5000, 0.5000, 0.0000]], "final_energy_ev_per_atom": -10.705, "formation_enthalpy_0k_ev_per_atom": -0.07, "spacegroup": "I4/mmm (139)", "e_above_lowest_polymorph_ev_per_atom": 0.053, "magnetic_moment_mub_per_cell": 0.0}


# 19
{"formula": "MgAg12Pd7", "functional": "PBE-GGA", "state": "relaxed", "lattice": [[-5.3136, -3.0224, 4.3283], [-0.1098, -3.7136, -6.5039], [6.5780, -1.4951, 3.2555]], "species": ["Pd", "Ag", "Ag", "Ag", "Ag", "Pd", "Ag", "Ag", "Mg", "Ag", "Ag", "Pd", "Pd", "Pd", "Ag", "Ag", "Pd", "Ag", "Pd", "Ag"], "frac_coords": [[0.0980, 0.6795, 0.9845], [0.3007, 0.4076, 0.0423], [0.6314, 0.7751, 0.3348], [0.6993, 0.5924, 0.9577], [0.0423, 0.3007, 0.4076], [0.9845, 0.0980, 0.6795], [0.4076, 0.0423, 0.3007], [0.3686, 0.2249, 0.6652], [0.0000, 0.0000, 0.0000], [0.9577, 0.6993, 0.5924], [0.3348, 0.6314, 0.7751], [0.0155, 0.9020, 0.3205], [0.6795, 0.9845, 0.0980], [0.3205, 0.0155, 0.9020], [0.6652, 0.3686, 0.2249], [0.5924, 0.9577, 0.6993], [0.9020, 0.3205, 0.0155], [0.7751, 0.3348, 0.6314], [0.5000, 0.5000, 0.5000], [0.2249, 0.6652, 0.3686]], "final_energy_ev_per_atom": -3.641, "formation_enthalpy_0k_ev_per_atom": -0.03, "spacegroup": "R-3 (148)", "magnetic_moment_mub_per_cell": 0.0}


# 20
{"formula": "ReAs2Ru", "functional": "PBE-GGA", "state": "relaxed", "lattice": [[-1.0842, 2.6005, 0.7447], [-2.3047, -0.4680, -1.7212], [-3.9097, -3.3935, 6.1577]], "species": ["As", "Ru", "Re", "As"], "frac_coords": [[0.0000, 0.0000, 0.9370], [0.5000, 0.5000, 0.7408], [0.0000, 0.0000, 0.5129], [0.5000, 0.5000, 0.3093]], "final_energy_ev_per_atom": -7.727, "formation_enthalpy_0k_ev_per_atom": 0.03, "spacegroup": "P4mm (99)", "e_above_lowest_polymorph_ev_per_atom": 0.005, "magnetic_moment_mub_per_cell": 0.0}